Here is crystalline Pu2TaZn at its relaxed geometry from the Alexandria database. Energies are from GGA-PBE.

Computed properties:
* final energy: -10.04 eV/atom
* E_form: 0.411 eV per atom
* magnetization: 11.104 μB/f.u.

Lattice parameters (Å, degrees): 3.0970 3.0970 33.3741 90.00 90.00 120.00
Space group R-3m (No. 166, hexagonal axes)
Symmetry-distinct sites (fractional):
Pu  0.0000  0.0000  0.0911 (multiplicity 6)
Ta  0.0000  0.0000  0.5000 (multiplicity 3)
Zn  0.0000  0.0000  0.0000 (multiplicity 3)


Here is crystalline TbPu3 at its relaxed geometry from the Alexandria database. Energies are from GGA-PBE.

Computed properties:
* energy above the most stable polymorph in this dataset: 21 meV per atom
* final energy: -11.63 eV/atom
* E_form: 0.279 eV per atom
* magnetization: 18.113 μB/f.u.

Lattice parameters (Å, degrees): 3.613 11.155 5.617 90.00 90.00 90.00
Space group Imm2 (No. 44)
Symmetry-distinct sites (fractional):
Tb  0.000  0.000  0.000 (multiplicity 2)
Pu  0.000  0.235  0.499 (multiplicity 4)
Pu  0.000  0.500  0.000 (multiplicity 2)


- Among the records above, which one has the highest final energy?
  Pu2TaZn